Entry 1:
5
Lattice="4.1150 0.0000 0.0000 0.0000 4.1150 0.0000 0.0000 0.0000 3.8768" Properties=species:S:1:pos:R:3 comment="meta-GGA SCAN PdRhOF2, PBEsol geometry" total_energy_ev_per_atom=-16.2165 dos_ef_per_ev_cell=4.885 e_form_raw_ev_per_atom=-0.25 crystal_system=tetragonal spacegroup="No. 123" magmom_total_mub_per_cell=2.691 pbc="T T T"
Pd 0.0000 0.0000 0.0000
Rh 2.0575 2.0575 1.9384
O 0.0000 0.0000 1.9384
F 0.0000 2.0575 0.0000
F 2.0575 0.0000 0.0000

Entry 2:
5
Lattice="4.0858 0.0000 0.0000 0.0000 4.0858 0.0000 0.0000 0.0000 4.0170" Properties=species:S:1:pos:R:3 comment="meta-GGA SCAN SiPdOF2, PBEsol geometry" total_energy_ev_per_atom=-11.6575 dos_ef_per_ev_cell=1.696 e_form_raw_ev_per_atom=-0.44 crystal_system=tetragonal spacegroup="No. 123" magmom_total_mub_per_cell=0.000 pbc="T T T"
Si 0.0000 0.0000 0.0000
Pd 2.0429 2.0429 2.0085
O 2.0429 2.0429 0.0000
F 0.0000 2.0429 2.0085
F 2.0429 0.0000 2.0085

Repeat the first record exactly.
5
Lattice="4.1150 0.0000 0.0000 0.0000 4.1150 0.0000 0.0000 0.0000 3.8768" Properties=species:S:1:pos:R:3 comment="meta-GGA SCAN PdRhOF2, PBEsol geometry" total_energy_ev_per_atom=-16.2165 dos_ef_per_ev_cell=4.885 e_form_raw_ev_per_atom=-0.25 crystal_system=tetragonal spacegroup="No. 123" magmom_total_mub_per_cell=2.691 pbc="T T T"
Pd 0.0000 0.0000 0.0000
Rh 2.0575 2.0575 1.9384
O 0.0000 0.0000 1.9384
F 0.0000 2.0575 0.0000
F 2.0575 0.0000 0.0000